Entry 1:
Computed, not measured: crystalline VB4Os at its relaxed geometry at the PBE level of DFT.

Unit cell a=2.876 b=2.876 c=7.459 alpha=90.00 beta=90.00 gamma=120.00
Positions (direct):
V  0.000  0.000  0.000
B  0.000  0.000  0.291
B  0.333  0.667  0.203
B  0.333  0.667  0.797
B  0.000  0.000  0.709
Os  0.333  0.667  0.500

Properties
The energy relative to the elements is -298 meV/atom. As for the space group: P-6m2 (187).

---

Entry 2:
Computed, not measured: crystalline RbTeI6 at its relaxed geometry at the PBE level of DFT.

Unit cell a=7.633 b=7.633 c=7.565 alpha=73.15 beta=73.15 gamma=101.14
Positions (direct):
I  0.686  0.047  0.316
I  0.314  0.953  0.684
I  0.286  0.286  0.046
I  0.714  0.714  0.954
I  0.047  0.686  0.316
I  0.953  0.314  0.684
Te  0.000  0.000  0.000
Rb  0.500  0.500  0.500

Properties
For the uncorrected formation energy, the calculation gives -0.377 eV per atom. As for the space group: C2/m (12).

---

Entry 3:
Computed, not measured: crystalline CeTm2In2 at its relaxed geometry at the PBE level of DFT.

Unit cell a=5.105 b=5.105 c=6.359 alpha=90.00 beta=90.00 gamma=120.00
Each line ends with the local moment (μB).
Positions (direct):
Ce  0.333  0.667  0.000  0.47
In  0.000  0.000  0.751  -0.01
In  0.000  0.000  0.249  -0.01
Tm  0.667  0.333  0.000  0.12
Tm  0.333  0.667  0.500  0.04

Properties
The energy relative to the elements is -27 meV/atom. Its distance to the lowest polymorph of the same formula is 0.107 eV per atom. As for the space group: P-6m2 (187).

---

Entry 4:
Computed, not measured: crystalline SmPaNi at its relaxed geometry at the PBE level of DFT.

Unit cell a=3.509 b=3.509 c=6.202 alpha=106.44 beta=106.44 gamma=90.00
Positions (direct):
Ni  0.300  0.300  0.600
Sm  0.994  0.994  0.988
Pa  0.706  0.706  0.412

Properties
The energy relative to the elements is -106 meV/atom. Its distance to the lowest polymorph of the same formula is 0.103 eV per atom. As for the space group: I4mm (107).

---

| no. | DFT total energy (eV for the cell shown) |
| --- | --- |
| 1 | -48.84 |
| 2 | -16.43 |
| 3 | -20.49 |
| 4 | -20.31 |